Material: AlNi5
Method: DFT, PBE-GGA
State: optimized geometry

Values from the calculation:
**Raw total energy**: -5.36 eV/atom

Structure (CIF):
```
data_AlNi5
_chemical_formula_sum 'Al4 Ni20'
_cell_length_a 4.5962
_cell_length_b 4.5962
_cell_length_c 15.2108
_cell_angle_alpha 90.00
_cell_angle_beta 90.00
_cell_angle_gamma 120.00
_symmetry_space_group_name_H-M 'P 63/m m c'
_symmetry_Int_Tables_number 194
_symmetry_space_group_name_Hall '-P 6c 2c'
loop_
_atom_site_label
_atom_site_fract_x
_atom_site_fract_y
_atom_site_fract_z
_atom_site_occupancy
Al1 0.0000 0.0000 0.1001 1
Ni1 0.0000 0.5000 0.0000 1
Ni2 0.1638 0.3276 0.2500 1
Ni3 0.3333 0.6667 0.1253 1
Ni4 0.3333 0.6667 0.6556 1
```